Computed, not measured: a geometry-optimized CrCl2F structure at the PBE+U level of DFT.

CIF file:
```
data_CrCl2F
_chemical_formula_sum 'Cr1 Cl2 F1'
_space_group_name_H-M_alt 'P 1'
_space_group_IT_number 1
_space_group_name_Hall 'P 1'
_cell_length_a 4.414
_cell_length_b 4.414
_cell_length_c 4.414
_cell_angle_alpha 60.00
_cell_angle_beta 60.00
_cell_angle_gamma 60.00
loop_
_atom_site_label
_atom_site_fract_x
_atom_site_fract_y
_atom_site_fract_z
Cr1 0.500 0.500 0.500
F1 0.000 0.000 0.000
Cl1 0.250 0.250 0.250
Cl2 0.750 0.750 0.750
```

## Properties
E_tot: -15.5 eV/cell
E above lowest polymorph: 4.23 eV per formula unit
Space-group type: Fm-3m